Computed, not measured: a relaxed Sm12Mn3N5 crystal at the PBE level of DFT.

Unit cell a=13.660 b=13.660 c=13.660 alpha=109.47 beta=109.47 gamma=109.47
Fractional positions:
Sm 0.017 0.201 0.113
Sm 0.017 0.316 0.904
Sm 0.088 0.701 0.684
Sm 0.088 0.887 0.404
Sm 0.096 0.613 0.412
Sm 0.096 0.983 0.684
Sm 0.113 0.017 0.201
Sm 0.113 0.596 0.912
Sm 0.184 0.201 0.588
Sm 0.184 0.483 0.596
Sm 0.201 0.113 0.017
Sm 0.201 0.588 0.184
Sm 0.299 0.316 0.912
Sm 0.299 0.483 0.387
Sm 0.316 0.904 0.017
Sm 0.316 0.912 0.299
Sm 0.387 0.299 0.483
Sm 0.387 0.588 0.904
Sm 0.404 0.088 0.887
Sm 0.404 0.816 0.517
Sm 0.412 0.096 0.613
Sm 0.412 0.816 0.799
Sm 0.483 0.387 0.299
Sm 0.483 0.596 0.184
Sm 0.517 0.404 0.816
Sm 0.517 0.613 0.701
Sm 0.588 0.184 0.201
Sm 0.588 0.904 0.387
Sm 0.596 0.184 0.483
Sm 0.596 0.912 0.113
Sm 0.613 0.412 0.096
Sm 0.613 0.701 0.517
Sm 0.684 0.088 0.701
Sm 0.684 0.096 0.983
Sm 0.701 0.517 0.613
Sm 0.701 0.684 0.088
Sm 0.799 0.412 0.816
Sm 0.799 0.887 0.983
Sm 0.816 0.517 0.404
Sm 0.816 0.799 0.412
Sm 0.887 0.404 0.088
Sm 0.887 0.983 0.799
Sm 0.904 0.017 0.316
Sm 0.904 0.387 0.588
Sm 0.912 0.113 0.596
Sm 0.912 0.299 0.316
Sm 0.983 0.684 0.096
Sm 0.983 0.799 0.887
Mn 0.125 0.250 0.375
Mn 0.125 0.375 0.750
Mn 0.250 0.375 0.125
Mn 0.250 0.875 0.625
Mn 0.375 0.125 0.250
Mn 0.375 0.750 0.125
Mn 0.625 0.250 0.875
Mn 0.625 0.875 0.750
Mn 0.750 0.125 0.375
Mn 0.750 0.625 0.875
Mn 0.875 0.625 0.250
Mn 0.875 0.750 0.625
N 0.000 0.000 0.000
N 0.000 0.000 0.500
N 0.000 0.500 0.000
N 0.000 0.500 0.500
N 0.125 0.750 0.875
N 0.125 0.875 0.250
N 0.250 0.125 0.875
N 0.250 0.625 0.375
N 0.375 0.250 0.625
N 0.375 0.625 0.750
N 0.500 0.000 0.000
N 0.500 0.000 0.500
N 0.500 0.500 0.000
N 0.500 0.500 0.500
N 0.625 0.375 0.250
N 0.625 0.750 0.375
N 0.750 0.375 0.625
N 0.750 0.875 0.125
N 0.875 0.125 0.750
N 0.875 0.250 0.125

Calculated values
raw formation energy: -0.4601 eV per atom
space group: Ia-3d (230)


Computed, not measured: a relaxed SmMn4N6 crystal at the PBE level of DFT.

Unit cell a=5.077 b=5.077 c=14.944 alpha=90.00 beta=90.00 gamma=145.46
Fractional positions:
Sm 0.159 0.841 0.750
Sm 0.841 0.159 0.250
Mn 0.092 0.908 0.130
Mn 0.092 0.908 0.370
Mn 0.364 0.636 0.043
Mn 0.364 0.636 0.457
Mn 0.636 0.364 0.543
Mn 0.636 0.364 0.957
Mn 0.908 0.092 0.630
Mn 0.908 0.092 0.870
N 0.000 0.000 0.000
N 0.000 0.000 0.500
N 0.153 0.847 0.250
N 0.269 0.731 0.581
N 0.269 0.731 0.919
N 0.466 0.534 0.152
N 0.466 0.534 0.348
N 0.534 0.466 0.652
N 0.534 0.466 0.848
N 0.731 0.269 0.081
N 0.731 0.269 0.419
N 0.847 0.153 0.750

Calculated values
raw formation energy: -0.3618 eV per atom
space group: Cmcm (63)